Density functional theory data (PBE) for BeAl2B2Ir5 after structural relaxation.

```
BeAl2B2Ir5
1.0
9.178 0.000 0.000
0.000 9.178 0.000
0.000 0.000 2.885
Be Al B Ir
2 4 4 10
direct
0.000 0.000 0.000
0.500 0.500 0.000
0.176 0.324 0.000
0.324 0.824 0.000
0.676 0.176 0.000
0.824 0.676 0.000
0.132 0.632 0.000
0.368 0.132 0.000
0.632 0.868 0.000
0.868 0.368 0.000
0.000 0.500 0.500
0.080 0.798 0.500
0.202 0.080 0.500
0.298 0.580 0.500
0.420 0.298 0.500
0.500 0.000 0.500
0.580 0.702 0.500
0.702 0.420 0.500
0.798 0.920 0.500
0.920 0.202 0.500
```

## Properties
Symmetry: P4/mbm
Total DFT energy (no corrections) in eV per atom: -7.436